one:
Density functional theory data (PBE-GGA) for TbDy3In3 after structural relaxation.

The structure in CIF format:
```
data_TbDy3In3
_space_group_name_H-M_alt 'P 1'
_space_group_IT_number 1
_space_group_name_Hall 'P 1'
_cell_length_a 9.357
_cell_length_b 9.357
_cell_length_c 5.158
_cell_angle_alpha 90.00
_cell_angle_beta 90.00
_cell_angle_gamma 120.00
loop_
_atom_site_label
_atom_site_type_symbol
_atom_site_fract_x
_atom_site_fract_y
_atom_site_fract_z
_atom_site_occupancy
Tb1 Tb 0.333 0.667 0.250 1
Tb2 Tb 0.667 0.333 0.750 1
Dy1 Dy 0.002 0.234 0.250 1
Dy2 Dy 0.232 0.998 0.250 1
Dy3 Dy 0.234 0.232 0.750 1
Dy4 Dy 0.766 0.768 0.250 1
Dy5 Dy 0.768 0.002 0.750 1
Dy6 Dy 0.998 0.766 0.750 1
In1 In 0.071 0.454 0.750 1
In2 In 0.383 0.929 0.750 1
In3 In 0.454 0.383 0.250 1
In4 In 0.546 0.617 0.750 1
In5 In 0.617 0.071 0.250 1
In6 In 0.929 0.546 0.250 1
```



two:
Density functional theory data (PBE-GGA) for TbDy3In3 after structural relaxation.

The structure in CIF format:
```
data_TbDy3In3
_space_group_name_H-M_alt 'P 1'
_space_group_IT_number 1
_space_group_name_Hall 'P 1'
_cell_length_a 9.320
_cell_length_b 9.320
_cell_length_c 9.320
_cell_angle_alpha 90.00
_cell_angle_beta 90.00
_cell_angle_gamma 90.00
loop_
_atom_site_label
_atom_site_type_symbol
_atom_site_fract_x
_atom_site_fract_y
_atom_site_fract_z
_atom_site_occupancy
Tb1 Tb 0.074 0.426 0.574 1
Tb2 Tb 0.426 0.574 0.074 1
Tb3 Tb 0.574 0.074 0.426 1
Tb4 Tb 0.926 0.926 0.926 1
Dy1 Dy 0.076 0.576 0.924 1
Dy2 Dy 0.176 0.176 0.176 1
Dy3 Dy 0.176 0.824 0.324 1
Dy4 Dy 0.324 0.176 0.824 1
Dy5 Dy 0.324 0.824 0.676 1
Dy6 Dy 0.424 0.424 0.424 1
Dy7 Dy 0.576 0.924 0.076 1
Dy8 Dy 0.676 0.324 0.824 1
Dy9 Dy 0.676 0.676 0.676 1
Dy10 Dy 0.824 0.324 0.176 1
Dy11 Dy 0.824 0.676 0.324 1
Dy12 Dy 0.924 0.076 0.576 1
In1 In 0.000 0.251 0.876 1
In2 In 0.000 0.751 0.624 1
In3 In 0.124 0.500 0.249 1
In4 In 0.249 0.124 0.500 1
In5 In 0.251 0.876 0.000 1
In6 In 0.376 0.500 0.749 1
In7 In 0.500 0.249 0.124 1
In8 In 0.500 0.749 0.376 1
In9 In 0.624 0.000 0.751 1
In10 In 0.749 0.376 0.500 1
In11 In 0.751 0.624 0.000 1
In12 In 0.876 0.000 0.251 1
```



Energy comparison, zero being the most stable, in meV/atom: one 0; two 25.



one:
Density functional theory data (PBE-GGA) for Tb5Dy4In after structural relaxation.

The structure in CIF format:
```
data_Tb5Dy4In
_space_group_name_H-M_alt 'P 1'
_space_group_IT_number 1
_space_group_name_Hall 'P 1'
_cell_length_a 8.024
_cell_length_b 8.024
_cell_length_c 8.024
_cell_angle_alpha 97.54
_cell_angle_beta 97.54
_cell_angle_gamma 137.51
loop_
_atom_site_label
_atom_site_type_symbol
_atom_site_fract_x
_atom_site_fract_y
_atom_site_fract_z
_atom_site_occupancy
Tb1 Tb 0.000 0.000 0.000 1
Tb2 Tb 0.099 0.099 0.628 1
Tb3 Tb 0.099 0.471 0.000 1
Tb4 Tb 0.471 0.099 0.000 1
Tb5 Tb 0.471 0.471 0.372 1
Dy1 Dy 0.106 0.790 0.316 1
Dy2 Dy 0.475 0.790 0.684 1
Dy3 Dy 0.790 0.106 0.316 1
Dy4 Dy 0.790 0.475 0.684 1
In1 In 0.518 0.518 0.000 1
```



two:
Density functional theory data (PBE-GGA) for Tb5Dy4In after structural relaxation.

The structure in CIF format:
```
data_Tb5Dy4In
_space_group_name_H-M_alt 'P 1'
_space_group_IT_number 1
_space_group_name_Hall 'P 1'
_cell_length_a 4.126
_cell_length_b 4.126
_cell_length_c 18.112
_cell_angle_alpha 90.00
_cell_angle_beta 90.00
_cell_angle_gamma 90.00
loop_
_atom_site_label
_atom_site_type_symbol
_atom_site_fract_x
_atom_site_fract_y
_atom_site_fract_z
_atom_site_occupancy
Tb1 Tb 0.000 0.000 0.000 1
Tb2 Tb 0.000 0.000 0.204 1
Tb3 Tb 0.000 0.000 0.410 1
Tb4 Tb 0.000 0.000 0.590 1
Tb5 Tb 0.000 0.000 0.796 1
Dy1 Dy 0.500 0.500 0.101 1
Dy2 Dy 0.500 0.500 0.303 1
Dy3 Dy 0.500 0.500 0.697 1
Dy4 Dy 0.500 0.500 0.899 1
In1 In 0.500 0.500 0.500 1
```



Energy comparison, zero being the most stable, in meV/atom: one 109; two 0.